A relaxed structure of Nd2SmYSc, computed with PBE.

CIF file:
```
data_Nd2SmYSc
_chemical_formula_sum 'Nd8 Sm4 Y4 Sc4'
_cell_length_a 8.2359
_cell_length_b 11.4969
_cell_length_c 7.1964
_cell_angle_alpha 90.00
_cell_angle_beta 90.00
_cell_angle_gamma 90.00
_space_group_name_H-M_alt 'C m c m'
_space_group_IT_number 63
_space_group_name_Hall '-C 2c 2'
loop_
_atom_site_label
_atom_site_type_symbol
_atom_site_fract_x
_atom_site_fract_y
_atom_site_fract_z
Nd1 Nd 0.1999 0.0000 0.0000
Sm1 Sm 0.0000 0.2224 0.2500
Y1 Y 0.0000 0.2483 0.7500
Sc1 Sc 0.0000 0.4809 0.2500
```

Summary:
density of states at the Fermi level: 25.02 states/eV per cell
ρ: 5.6 Mg/m³
raw total energy: -101.3 eV/cell